VASP calculation (PBE) on crystalline AlIrNO2 at its relaxed geometry.

## Properties
Its density of states at the Fermi level is 2.57 states/eV/f.u. The crystal system is tetragonal. Its uncorrected formation energy is 0.09 eV/atom. Its magnetic moment is 0.00 μB per cell.

abc: 4.013 4.013 3.745
angles: 90.00 90.00 90.00
Fractional positions:
Al1 0.000 0.000 0.000
Ir1 0.500 0.500 0.500
N1 0.500 0.500 0.000
O1 0.000 0.500 0.500
O2 0.500 0.000 0.500

=====

VASP calculation (PBE) on crystalline AlIrNO2 at its relaxed geometry.

## Properties
Its density of states at the Fermi level is 3.58 states/eV/f.u. The crystal system is tetragonal. Its uncorrected formation energy is -0.08 eV/atom. Its magnetic moment is 0.00 μB per cell.

abc: 3.594 3.594 3.838
angles: 90.00 90.00 90.00
Fractional positions:
Al1 0.000 0.000 0.000
Ir1 0.500 0.500 0.500
N1 0.000 0.000 0.500
O1 0.000 0.500 0.000
O2 0.500 0.000 0.000

=====

VASP calculation (PBE) on crystalline AlIrPb2N at its relaxed geometry.

## Properties
Its density of states at the Fermi level is 2.75 states/eV/f.u. The crystal system is tetragonal. Its uncorrected formation energy is 0.38 eV/atom. Its magnetic moment is 0.00 μB per cell.

abc: 5.735 5.735 3.645
angles: 90.00 90.00 90.00
Fractional positions:
Al1 0.000 0.000 0.000
Ir1 0.500 0.500 0.500
Pb1 0.000 0.500 0.500
Pb2 0.500 0.000 0.500
N1 0.500 0.500 0.000